Here is an optimized crystal structure of TmH6Rh2 from the Alexandria database. Energies are from PBE-GGA.

The calculation puts the density of states at the Fermi level at 3.5 states/eV/f.u. Its relative energy among the computed polymorphs is 67.5 meV/atom. The crystal system is monoclinic.

The structure belongs to space group C2/m (No. 12); the cell edges are 9.5528, 3.5700 and 6.2281 Å and the angles 90.00°, 127.10° and 90.00°. The distinct sites, in fractional coordinates, are Tm at (0.0000, 0.0000, 0.0000), H at (0.0305, 0.0000, 0.6851), H at (0.1490, 0.5000, 0.0570), H at (0.2047, 0.5000, 0.5624) and Rh at (0.1837, 0.0000, 0.6115).